The following is a DFT calculation (PBE) of CsK2NaP after structural relaxation.

Computed properties:
VASP energy ... -10.23 eV/f.u.
Crystal system ... tetragonal
V ... 49.0 Å³ per atom

Cell lengths 6.547, 6.547, 5.717 Å; angles 90.00, 90.00, 90.00 degrees
Sites, in units of the cell vectors:
1 K 0.000 0.500 0.000
2 Na 0.000 0.000 0.500
3 P 0.000 0.000 0.000
4 Cs 0.500 0.500 0.500
5 K 0.500 0.000 0.000